Density functional theory data (PBE) for a geometry-optimized La2ZrPt structure.

Properties
calculated volume	27.328	Å³ per atom
distance to the lowest polymorph of the same formula	32	kJ/mol of formula units
total moment	0.000	μB per cell
DFT total energy	-6.496	eV/atom
ΔH_f (0 K)	-149	kJ/mol of formula units

Cell: 3.6775 3.6788 8.8783 Å, 65.52 90.00 90.00°
Closest atoms and distances in Å follow each position.
Atoms (fractional coordinates):
1 La 0.0000 0.9667 0.0332  4 Pt 3.14, 4 Zr 3.46, 1 La 3.50
2 La 0.0000 0.5333 0.4668  4 Pt 3.14, 4 Zr 3.46, 1 La 3.50
3 Pt 0.5000 0.2500 0.2500  8 La 3.14
4 Zr 0.5000 0.7500 0.7500  8 La 3.46, 4 Zr 3.68



Density functional theory data (PBE) for a geometry-optimized LaZr2Pt structure.

Properties
calculated volume	22.577	Å³ per atom
total moment	0.001	μB per cell
DFT total energy	-7.203	eV/atom
ΔH_f (0 K)	-72	kJ/mol of formula units

Cell: 5.6673 5.6673 5.6673 Å, 134.78 134.78 65.86°
Closest atoms and distances in Å follow each position.
Atoms (fractional coordinates):
1 La 0.5000 0.5000 0.0000  8 Zr 3.08-3.23, 4 Pt 3.23
2 Pt 0.7500 0.2500 0.5000  8 Zr 3.08-3.23, 4 La 3.23
3 Zr 0.0000 0.0000 0.0000  4 La 3.08, 4 Zr 3.23, 4 Pt 3.23
4 Zr 0.2500 0.7500 0.5000  4 Pt 3.08, 4 Zr 3.23, 4 La 3.23



Density functional theory data (PBE) for a geometry-optimized LaZr2Pt structure.

Properties
calculated volume	24.341	Å³ per atom
total moment	0.000	μB per cell
DFT total energy	-7.492	eV/atom
ΔH_f (0 K)	-184	kJ/mol of formula units

Cell: 3.3644 3.3733 9.2135 Å, 68.61 90.00 90.00°
Closest atoms and distances in Å follow each position.
Atoms (fractional coordinates):
1 La 0.0000 0.4642 0.5363  4 Pt 3.24-3.25, 4 La 3.36-3.37
2 Pt 0.5000 0.7067 0.7926  4 Zr 2.81
3 Zr 0.0000 0.0334 0.9663  4 Pt 2.81, 4 Zr 3.14
4 Zr 0.5000 0.2957 0.2048  8 Zr 3.14-3.37



Density functional theory data (PBE) for a geometry-optimized La3ZrPt structure.

Properties
calculated volume	33.904	Å³ per atom
distance to the lowest polymorph of the same formula	253	kJ/mol of formula units
total moment	0.000	μB per cell
DFT total energy	-5.340	eV/atom
ΔH_f (0 K)	258	kJ/mol of formula units

Cell: 5.5344 5.5344 5.5344 Å, 90.00 90.00 90.00°
Closest atoms and distances in Å follow each position.
Atoms (fractional coordinates):
1 Zr 0.0000 0.0000 0.0000  6 La 2.77
2 Pt 0.5000 0.5000 0.5000  12 La 3.91
3 La 0.0000 0.5000 0.0000  2 Zr 2.77
4 La 0.0000 0.0000 0.5000  2 Zr 2.77
5 La 0.5000 0.0000 0.0000  2 Zr 2.77



Density functional theory data (PBE) for a geometry-optimized La2ZrPt structure.

Properties
calculated volume	25.589	Å³ per atom
distance to the lowest polymorph of the same formula	91	kJ/mol of formula units
total moment	0.000	μB per cell
DFT total energy	-6.344	eV/atom
ΔH_f (0 K)	-90	kJ/mol of formula units

Cell: 6.1457 6.1457 6.1457 Å, 138.11 138.11 60.73°
Closest atoms and distances in Å follow each position.
Atoms (fractional coordinates):
1 La 0.0000 0.0000 0.0000  4 Pt 3.11, 4 Zr 3.44, 4 La 3.44
2 La 0.2500 0.7500 0.5000  4 Zr 3.11, 4 La 3.44, 4 Pt 3.44
3 Pt 0.5000 0.5000 0.0000  8 La 3.11-3.44, 4 Zr 3.44
4 Zr 0.7500 0.2500 0.5000  8 La 3.11-3.44, 4 Pt 3.44



Density functional theory data (PBE) for a geometry-optimized LaZr4Pt structure.

Properties
calculated volume	23.471	Å³ per atom
total moment	0.000	μB per cell
DFT total energy	-7.341	eV/atom
ΔH_f (0 K)	108	kJ/mol of formula units

Cell: 5.8398 5.8398 5.8398 Å, 60.00 60.00 60.00°
Closest atoms and distances in Å follow each position.
Atoms (fractional coordinates):
1 La 0.7500 0.7500 0.7500  12 Zr 3.42, 4 Pt 3.58
2 Zr 0.8748 0.3751 0.3751  6 Zr 2.92
3 Zr 0.3751 0.3751 0.8748  6 Zr 2.92
4 Zr 0.3751 0.8748 0.3751  6 Zr 2.92
5 Zr 0.3751 0.3751 0.3751  6 Zr 2.92
6 Pt 0.0000 0.0000 0.0000  12 Zr 3.42, 4 La 3.58